Density functional theory data (SCAN) for TcMo2W at its PBEsol-relaxed geometry.

## Properties
ΔE to the lowest computed polymorph: 0.023 eV/atom
energy of formation: 0.027 eV per atom
DOS at the Fermi energy: 2.96 states/eV/f.u.
size of the total moment: 0.0 μB/cell
total energy: -43.6027 eV/atom

a b c (Å): 2.7104 5.1440 5.1545
angles (deg): 116.87 99.99 100.32
Closest atoms and distances in Å follow each position.
Fractional positions:
Mo  0.5000  0.5000  0.5000  4 Mo 2.68-2.71, 2 Tc 2.70, 2 W 2.70
Mo  0.0000  0.0000  0.5000  4 Mo 2.68-2.71, 2 W 2.70, 2 Tc 2.70
Tc  0.5000  0.0000  0.0000  2 W 2.68, 4 Mo 2.70, 2 Tc 2.71
W  0.0000  0.5000  0.0000  2 Tc 2.68, 4 Mo 2.70, 2 W 2.71